Entry 1:
First-principles (PBE-GGA) data for a relaxed structure of PaIn3I7, as listed in the Alexandria database.

VASP energy (eV/cell): -35.749
Symmetry: Cm, No. 8
V (Å³ per cell): 505
Spin magnetization (μB/atom): 0.091

Cell lengths 8.0715, 8.0715, 9.7598 Å; angles 63.02, 63.02, 79.67 degrees
Closest atoms and distances in Å follow each position.
Fractional positions:
1 Pa 0.9376 0.9376 0.0476  7 I 3.04-3.28
2 In 0.8514 0.2414 0.4740  4 I 3.26-3.61
3 In 0.5030 0.5030 0.9183  6 I 3.39-3.55
4 In 0.2414 0.8514 0.4740  4 I 3.26-3.61
5 I 0.1553 0.1553 0.1058  1 Pa 3.07
6 I 0.6088 0.1542 0.2300  1 Pa 3.18, 2 In 3.37-3.41
7 I 0.9373 0.3166 0.7489  1 Pa 3.13, 1 In 3.37
8 I 0.1542 0.6088 0.2300  1 Pa 3.18, 2 In 3.37-3.41
9 I 0.6271 0.6271 0.3897  2 In 3.26, 1 Pa 3.28
10 I 0.3166 0.9373 0.7489  1 Pa 3.13, 1 In 3.37
11 I 0.7923 0.7923 0.8826  1 Pa 3.04, 1 In 3.39

***

Entry 2:
First-principles (PBE-GGA) data for a relaxed structure of Pa2AsS, as listed in the Alexandria database.

VASP energy (eV/cell): -31.749
Symmetry: Fm-3m, No. 225
V (Å³ per cell): 83
Spin magnetization (μB/atom): 0.282

Cell lengths 4.8958, 4.8958, 4.8958 Å; angles 60.00, 60.00, 60.00 degrees
Closest atoms and distances in Å follow each position.
Fractional positions:
1 As 0.0000 0.0000 0.0000  8 Pa 3.00
2 Pa 0.2500 0.2500 0.2500  4 As 3.00, 4 S 3.00
3 Pa 0.7500 0.7500 0.7500  4 S 3.00, 4 As 3.00
4 S 0.5000 0.5000 0.5000  8 Pa 3.00

***

Entry 3:
First-principles (PBE-GGA) data for a relaxed structure of LaTeAu2, as listed in the Alexandria database.

VASP energy (eV/cell): -17.396
Symmetry: P2/m, No. 10
V (Å³ per cell): 107
Spin magnetization (μB/atom): 0.000

Cell lengths 5.0584, 3.9037, 5.4432 Å; angles 90.10, 90.00, 90.00 degrees
Closest atoms and distances in Å follow each position.
Fractional positions:
1 Au 0.0000 0.7504 0.0073  2 Au 2.64-2.80, 2 Te 2.89
2 Au 0.0000 0.7496 0.4927  2 Au 2.64-2.80, 2 Te 2.89
3 La 0.5000 0.2500 0.2500  4 Te 3.35, 8 Au 3.45-3.46
4 Te 0.5000 0.7500 0.7500  4 Au 2.89

***

Entry 4:
First-principles (PBE-GGA) data for a relaxed structure of HoErSnTe, as listed in the Alexandria database.

VASP energy (eV/cell): -20.317
Symmetry: R3m, No. 160
V (Å³ per cell): 118
Spin magnetization (μB/atom): 0.000

Cell lengths 4.3643, 4.3643, 7.5984 Å; angles 73.31, 73.31, 60.00 degrees
Closest atoms and distances in Å follow each position.
Fractional positions:
1 Ho 0.4393 0.4393 0.6820  3 Sn 3.04, 3 Te 3.16
2 Er 0.9489 0.9489 0.1534  3 Sn 3.03, 3 Te 3.15
3 Sn 0.6937 0.6937 0.9188  3 Er 3.03, 3 Ho 3.04
4 Te 0.1945 0.1945 0.4165  3 Er 3.15, 3 Ho 3.16

***

Entry 5:
First-principles (PBE-GGA) data for a relaxed structure of Ba2NaOs, as listed in the Alexandria database.

VASP energy (eV/cell): -26.805
Symmetry: I-42d, No. 122
Energy of formation from the pure elements (meV/atom): 748
V (Å³ per cell): 340
Spin magnetization (μB/atom): 0.000

Cell lengths 10.5584, 10.5584, 8.0648 Å; angles 49.11, 49.11, 90.00 degrees
Closest atoms and distances in Å follow each position.
Fractional positions:
1 Na 0.5000 0.5000 0.0000  2 Os 3.05
2 Na 0.2500 0.7500 0.5000  2 Os 3.05
3 Os 0.0000 0.0000 0.0000  4 Ba 2.96, 2 Na 3.05
4 Os 0.7500 0.2500 0.5000  4 Ba 2.96, 2 Na 3.05
5 Ba 0.7711 0.1250 0.2500  2 Os 2.96
6 Ba 0.9789 0.6250 0.2500  2 Os 2.96
7 Ba 0.3750 0.2289 0.7500  2 Os 2.96
8 Ba 0.8750 0.0211 0.7500  2 Os 2.96

***

Entry 6:
First-principles (PBE-GGA) data for a relaxed structure of Pu2TeRu, as listed in the Alexandria database.

VASP energy (eV/cell): -42.823
Symmetry: P4/mmm, No. 123
V (Å³ per cell): 92
Spin magnetization (μB/atom): 2.496

Cell lengths 3.5069, 3.5069, 7.4926 Å; angles 90.00, 90.00, 90.00 degrees
Closest atoms and distances in Å follow each position.
Fractional positions:
1 Ru 0.5000 0.5000 0.0000  8 Pu 2.98
2 Te 0.5000 0.5000 0.5000  8 Pu 3.24, 4 Te 3.51
3 Pu 0.0000 0.0000 0.7788  4 Ru 2.98, 4 Te 3.24, 1 Pu 3.31
4 Pu 0.0000 0.0000 0.2212  4 Ru 2.98, 4 Te 3.24, 1 Pu 3.31

***

Entry 7:
First-principles (PBE-GGA) data for a relaxed structure of Y2ZnCdH, as listed in the Alexandria database.

VASP energy (eV/cell): -19.741
Symmetry: P4/mmm, No. 123
V (Å³ per cell): 99
Spin magnetization (μB/atom): 0.092

Cell lengths 4.8484, 4.8484, 4.2240 Å; angles 90.00, 90.00, 90.00 degrees
Closest atoms and distances in Å follow each position.
Fractional positions:
1 Y 0.0000 0.5000 0.0000  2 H 2.42
2 Y 0.5000 0.0000 0.0000  2 H 2.42
3 H 0.0000 0.0000 0.0000  2 Cd 2.11
4 Zn 0.5000 0.5000 0.5000  8 Y 3.22, 4 Cd 3.43
5 Cd 0.0000 0.0000 0.5000  2 H 2.11

***

Entry 8:
First-principles (PBE-GGA) data for a relaxed structure of SmGdB12, as listed in the Alexandria database.

VASP energy (eV/cell): -105.362
Symmetry: P4/mmm, No. 123
Energy of formation from the pure elements (meV/atom): -459
V (Å³ per cell): 139
Spin magnetization (μB/atom): 0.481

Cell lengths 5.8200, 5.8200, 4.1152 Å; angles 90.00, 90.00, 90.00 degrees
Closest atoms and distances in Å follow each position.
Fractional positions:
1 Sm 0.5000 0.5000 0.0000  24 B 3.02
2 Gd 0.0000 0.0000 0.0000  24 B 3.02
3 B 0.0000 0.5000 0.1995  5 B 1.64-1.75
4 B 0.5000 0.0000 0.1995  5 B 1.64-1.75
5 B 0.1502 0.6508 0.5000  5 B 1.64-1.75
6 B 0.6508 0.1502 0.5000  5 B 1.64-1.75
7 B 0.1502 0.3492 0.5000  5 B 1.64-1.75
8 B 0.6508 0.8498 0.5000  5 B 1.64-1.75
9 B 0.8498 0.3492 0.5000  5 B 1.64-1.75
10 B 0.3492 0.8498 0.5000  5 B 1.64-1.75
11 B 0.8498 0.6508 0.5000  5 B 1.64-1.75
12 B 0.3492 0.1502 0.5000  5 B 1.64-1.75
13 B 0.0000 0.5000 0.8005  5 B 1.64-1.75
14 B 0.5000 0.0000 0.8005  5 B 1.64-1.75

***

Entry 9:
First-principles (PBE-GGA) data for a relaxed structure of TbPaNi10, as listed in the Alexandria database.

VASP energy (eV/cell): -76.298
Symmetry: Pmmm, No. 47
Energy of formation from the pure elements (meV/atom): -363
V (Å³ per cell): 163
Spin magnetization (μB/atom): 0.130

Cell lengths 3.9895, 4.8665, 8.3826 Å; angles 90.00, 90.00, 90.00 degrees
Closest atoms and distances in Å follow each position.
Fractional positions:
1 Tb 0.0000 0.0000 0.0000  18 Ni 2.84-3.16
2 Pa 0.0000 0.5000 0.5000  6 Ni 2.73-2.79
3 Ni 0.0000 0.0000 0.3383  6 Ni 2.41-2.45
4 Ni 0.0000 0.5000 0.8253  6 Ni 2.42-2.47
5 Ni 0.0000 0.5000 0.1747  6 Ni 2.42-2.47
6 Ni 0.0000 0.0000 0.6617  6 Ni 2.41-2.45
7 Ni 0.5000 0.0000 0.5000  8 Ni 2.41
8 Ni 0.5000 0.5000 0.0000  8 Ni 2.44-2.47
9 Ni 0.5000 0.2523 0.2531  8 Ni 2.41-2.46
10 Ni 0.5000 0.7477 0.7469  8 Ni 2.41-2.46
11 Ni 0.5000 0.7477 0.2531  8 Ni 2.41-2.46
12 Ni 0.5000 0.2523 0.7469  8 Ni 2.41-2.46

***

Entry 10:
First-principles (PBE-GGA) data for a relaxed structure of Ca3LaS, as listed in the Alexandria database.

VASP energy (eV/cell): -10.243
Symmetry: Pm-3m, No. 221
V (Å³ per cell): 201
Spin magnetization (μB/atom): 0.528

Cell lengths 5.8622, 5.8622, 5.8622 Å; angles 90.00, 90.00, 90.00 degrees
Closest atoms and distances in Å follow each position.
Fractional positions:
1 Ca 0.0000 0.5000 0.0000  2 La 2.93
2 Ca 0.0000 0.0000 0.5000  2 La 2.93
3 Ca 0.5000 0.0000 0.0000  2 La 2.93
4 S 0.5000 0.5000 0.5000  12 Ca 4.15
5 La 0.0000 0.0000 0.0000  6 Ca 2.93

***

Entry 11:
First-principles (PBE-GGA) data for a relaxed structure of Nd3Sm4Mg2, as listed in the Alexandria database.

VASP energy (eV/cell): -36.304
Symmetry: C2/m, No. 12
Energy of formation from the pure elements (meV/atom): 7
V (Å³ per cell): 290
Spin magnetization (μB/atom): 0.000

Cell lengths 5.0603, 7.9580, 8.0156 Å; angles 107.77, 108.40, 90.00 degrees
Closest atoms and distances in Å follow each position.
Fractional positions:
1 Nd 0.8873 0.3318 0.7746  3 Mg 3.52-3.55, 7 Sm 3.56-3.61, 2 Nd 3.58-3.61
2 Nd 0.1127 0.6682 0.2254  3 Mg 3.52-3.55, 7 Sm 3.56-3.61, 2 Nd 3.58-3.61
3 Nd 0.0000 0.0000 0.0000  6 Sm 3.54-3.55, 2 Nd 3.58, 4 Mg 3.61
4 Sm 0.5558 0.3310 0.1116  6 Nd 3.55-3.60, 2 Mg 3.58, 4 Sm 3.58-3.61
5 Sm 0.7782 0.6731 0.5563  3 Mg 3.51-3.53, 4 Nd 3.54-3.61, 5 Sm 3.58-3.63
6 Sm 0.4442 0.6690 0.8884  6 Nd 3.55-3.60, 2 Mg 3.58, 4 Sm 3.58-3.61
7 Sm 0.2218 0.3269 0.4437  3 Mg 3.51-3.53, 4 Nd 3.54-3.61, 5 Sm 3.58-3.63
8 Mg 0.3312 0.0005 0.6623  5 Sm 3.51-3.58, 5 Nd 3.52-3.61, 2 Mg 3.53
9 Mg 0.6688 0.9995 0.3377  5 Sm 3.51-3.58, 5 Nd 3.52-3.61, 2 Mg 3.53

***

Entry 12:
First-principles (PBE-GGA) data for a relaxed structure of BHS2, as listed in the Alexandria database.

VASP energy (eV/cell): -19.391
Symmetry: P1, No. 1
V (Å³ per cell): 85
Spin magnetization (μB/atom): 0.000

Cell lengths 3.1136, 6.6762, 6.6710 Å; angles 139.51, 86.81, 79.68 degrees
Closest atoms and distances in Å follow each position.
Fractional positions:
1 B 0.5608 0.7550 0.2928  3 S 1.80-1.86
2 H 0.1131 0.7972 0.6339  1 S 1.38
3 S 0.5783 0.6821 0.5025  1 H 1.38
4 S 0.0631 0.7885 0.1671  2 B 1.86